The following is a PBE calculation of a geometry-optimized ReTcAg2 structure, from Alexandria.

Cell lengths 4.720, 2.775, 5.114 Å; angles 90.00, 107.41, 90.00 degrees
Space group P2/m (No. 10)
Asymmetric unit:
Re1 0.000 0.000 0.000 x1
Tc1 0.500 0.500 0.000 x1
Ag1 0.000 0.500 0.500 x1
Ag2 0.500 0.000 0.500 x1

Calculated values
**DOS(E_F)**: 3.55 states/eV/f.u.
**Raw total energy**: -6.5401 eV per atom
**ΔH_f (0 K)**: 0.59 eV per atom
**Mass density**: 12989 kg/m³